1.
Entry from Alexandria: CsCr2OsW at its PBEsol-relaxed geometry (SCAN).

abc: 4.624 4.624 5.430
angles: 90.00 90.00 90.00
Positions (direct):
Cs 0.000 0.000 0.000
Cr 0.000 0.500 0.500
Cr 0.500 0.000 0.500
Os 0.500 0.500 0.000
W 0.000 0.000 0.500

Raw total energy = -40.49 eV per atom
SG = P4/mmm, No. 123
Density of states at the Fermi level = 3.7 states/eV/f.u.
Crystal system = tetragonal
E_form = 2.741 eV/atom

***

2.
Entry from Alexandria: Sc4C3 at its PBEsol-relaxed geometry (SCAN).

abc: 6.182 6.182 6.182
angles: 109.47 109.47 109.47
Positions (direct):
Sc 0.000 0.397 0.500
Sc 0.000 0.897 0.500
Sc 0.103 0.103 0.103
Sc 0.397 0.500 0.000
Sc 0.500 0.000 0.397
Sc 0.500 0.000 0.897
Sc 0.603 0.603 0.603
Sc 0.897 0.500 0.000
C 0.125 0.750 0.875
C 0.250 0.625 0.375
C 0.375 0.250 0.625
C 0.625 0.375 0.250
C 0.750 0.875 0.125
C 0.875 0.125 0.750

Raw total energy = -13.10 eV per atom
SG = I-43d, No. 220
Excess energy over the best structure of this formula in the dataset = 0 meV per atom
Crystal system = cubic
E_form = -0.634 eV/atom